1.
Entry from Alexandria: a geometry-optimized HfTi2GaO structure (PBE).

a b c (Å): 4.061 4.061 4.518
angles (deg): 90.00 90.00 90.00
Space group P4/mmm (No. 123)
Unique sites:
Hf: 0.000 0.000 0.000 [1 per cell]
Ti: 0.000 0.500 0.500 [2 per cell]
Ga: 0.500 0.500 0.000 [1 per cell]
O: 0.000 0.000 0.500 [1 per cell]

Results
* ΔE_f (raw): -1174 meV per atom

=====

2.
Entry from Alexandria: a geometry-optimized HfTl2GaO structure (PBE).

a b c (Å): 5.117 5.117 5.182
angles (deg): 90.00 90.00 90.00
Space group P4/mmm (No. 123)
Unique sites:
Hf: 0.000 0.000 0.000 [1 per cell]
Tl: 0.000 0.500 0.500 [2 per cell]
Ga: 0.000 0.000 0.500 [1 per cell]
O: 0.500 0.500 0.000 [1 per cell]

Results
* ΔE_f (raw): 919 meV per atom

=====

3.
Entry from Alexandria: a geometry-optimized HfTlGaO4 structure (PBE).

a b c (Å): 5.546 5.677 7.631
angles (deg): 90.00 90.12 90.00
Space group P2_1/m (No. 11)
Unique sites:
Hf: 0.174 0.250 0.471 [2 per cell]
Tl: 0.275 0.750 0.135 [2 per cell]
Ga: 0.340 0.750 0.658 [2 per cell]
O: 0.096 0.517 0.650 [4 per cell]
O: 0.365 0.250 0.236 [2 per cell]
O: 0.477 0.750 0.430 [2 per cell]

Results
* ΔE_f (raw): -2190 meV per atom

=====

| no. | E (eV per cell) |
| --- | --- |
| 1 | -39.60 |
| 2 | -18.07 |
| 3 | -101.02 |